# Hf6AsP, optimized geometry, DFT PBE-GGA
# ΔH_f (0 K) in meV/atom: -322
# DOS(E_F) in states/eV/atom: 0.846
# Energy in eV per atom: -9.045
data_Hf6AsP
_chemical_formula_sum 'Hf18 As3 P3'
_space_group_name_H-M_alt 'R -3'
_space_group_IT_number 148
_space_group_name_Hall '-R 3'
_cell_length_a 6.0412
_cell_length_b 6.0412
_cell_length_c 16.8525
_cell_angle_alpha 90.00
_cell_angle_beta 90.00
_cell_angle_gamma 120.00
loop_
_atom_site_label
_atom_site_type_symbol
_atom_site_fract_x
_atom_site_fract_y
_atom_site_fract_z
Hf1 Hf 0.0066 0.6990 0.2470
As1 As 0.0000 0.0000 0.0000
P1 P 0.0000 0.0000 0.5000

---

# HfAs3P, optimized geometry, DFT PBE-GGA
# ΔH_f (0 K) in meV/atom: 716
# DOS(E_F) in states/eV/atom: 1.198
# Energy in eV per atom: -5.146
data_HfAs3P
_chemical_formula_sum 'Hf1 As3 P1'
_space_group_name_H-M_alt 'P m -3 m'
_space_group_IT_number 221
_space_group_name_Hall '-P 4 2 3'
_cell_length_a 5.111
_cell_length_b 5.111
_cell_length_c 5.111
_cell_angle_alpha 90.00
_cell_angle_beta 90.00
_cell_angle_gamma 90.00
loop_
_atom_site_label
_atom_site_type_symbol
_atom_site_fract_x
_atom_site_fract_y
_atom_site_fract_z
Hf1 Hf 0.000 0.000 0.000
As1 As 0.000 0.000 0.500
P1 P 0.500 0.500 0.500

---

# Hf4AsP, optimized geometry, DFT PBE-GGA
# ΔH_f (0 K) in meV/atom: -556
# DOS(E_F) in states/eV/atom: 0.728
# Energy in eV per atom: -8.868
data_Hf4AsP
_chemical_formula_sum 'Hf8 As2 P2'
_space_group_name_H-M_alt 'P 1 21/c 1'
_space_group_IT_number 14
_cell_length_a 7.176
_cell_length_b 5.743
_cell_length_c 6.709
_cell_angle_alpha 90.00
_cell_angle_beta 112.35
_cell_angle_gamma 90.00
loop_
_space_group_symop_operation_xyz
'x,y,z'
'-x,-y,-z'
'-x,y+1/2,-z+1/2'
'x,-y+1/2,z+1/2'
loop_
_atom_site_label
_atom_site_type_symbol
_atom_site_fract_x
_atom_site_fract_y
_atom_site_fract_z
Hf1 Hf 0.185 0.222 0.347
Hf2 Hf 0.289 0.722 0.140
As1 As 0.500 0.000 0.000
P1 P 0.000 0.000 0.000

---

# Hf8AsP2, optimized geometry, DFT PBE-GGA
# ΔH_f (0 K) in meV/atom: -516
# DOS(E_F) in states/eV/atom: 0.766
# Energy in eV per atom: -9.161
data_Hf8AsP2
_chemical_formula_sum 'Hf16 As2 P4'
_space_group_name_H-M_alt 'C 1 2/m 1'
_space_group_IT_number 12
_cell_length_a 7.800
_cell_length_b 11.478
_cell_length_c 5.087
_cell_angle_alpha 90.00
_cell_angle_beta 105.26
_cell_angle_gamma 90.00
loop_
_space_group_symop_operation_xyz
'x,y,z'
'-x,-y,-z'
'-x,y,-z'
'x,-y,z'
'x+1/2,y+1/2,z'
'-x+1/2,-y+1/2,-z'
'-x+1/2,y+1/2,-z'
'x+1/2,-y+1/2,z'
loop_
_atom_site_label
_atom_site_type_symbol
_atom_site_fract_x
_atom_site_fract_y
_atom_site_fract_z
Hf1 Hf 0.000 0.244 0.000
Hf2 Hf 0.118 0.500 0.817
Hf3 Hf 0.204 0.126 0.606
As1 As 0.000 0.000 0.000
P1 P 0.000 0.313 0.500

---

# Hf4AsP2, optimized geometry, DFT PBE-GGA
# ΔH_f (0 K) in meV/atom: -991
# DOS(E_F) in states/eV/atom: 0.601
# Energy in eV per atom: -8.888
data_Hf4AsP2
_chemical_formula_sum 'Hf16 As4 P8'
_space_group_name_H-M_alt 'C m c m'
_space_group_IT_number 63
_space_group_name_Hall '-C 2c 2'
_cell_length_a 3.675
_cell_length_b 11.846
_cell_length_c 12.319
_cell_angle_alpha 90.00
_cell_angle_beta 90.00
_cell_angle_gamma 90.00
loop_
_atom_site_label
_atom_site_type_symbol
_atom_site_fract_x
_atom_site_fract_y
_atom_site_fract_z
Hf1 Hf 0.000 0.000 0.000
Hf2 Hf 0.000 0.273 0.121
Hf3 Hf 0.000 0.437 0.750
As1 As 0.000 0.103 0.750
P1 P 0.000 0.363 0.562

---

# Hf6As2P, optimized geometry, DFT PBE-GGA
# ΔH_f (0 K) in meV/atom: -756
# DOS(E_F) in states/eV/atom: 0.712
# Energy in eV per atom: -9.026
data_Hf6As2P
_chemical_formula_sum 'Hf12 As4 P2'
_space_group_name_H-M_alt 'P 1 21/c 1'
_space_group_IT_number 14
_cell_length_a 5.948
_cell_length_b 6.839
_cell_length_c 10.516
_cell_angle_alpha 90.00
_cell_angle_beta 123.10
_cell_angle_gamma 90.00
loop_
_space_group_symop_operation_xyz
'x,y,z'
'-x,-y,-z'
'-x,y+1/2,-z+1/2'
'x,-y+1/2,z+1/2'
loop_
_atom_site_label
_atom_site_type_symbol
_atom_site_fract_x
_atom_site_fract_y
_atom_site_fract_z
Hf1 Hf 0.087 0.194 0.448
Hf2 Hf 0.294 0.667 0.446
Hf3 Hf 0.396 0.030 0.236
As1 As 0.165 0.125 0.738
P1 P 0.500 0.000 0.500

---

# HfAsP2, optimized geometry, DFT PBE-GGA
# ΔH_f (0 K) in meV/atom: -31
# DOS(E_F) in states/eV/atom: 1.186
# Energy in eV per atom: -6.387
data_HfAsP2
_chemical_formula_sum 'Hf4 As4 P8'
_space_group_name_H-M_alt 'I -4 2 d'
_space_group_IT_number 122
_space_group_name_Hall 'I -4 2bw'
_cell_length_a 5.827
_cell_length_b 5.827
_cell_length_c 11.351
_cell_angle_alpha 90.00
_cell_angle_beta 90.00
_cell_angle_gamma 90.00
loop_
_atom_site_label
_atom_site_type_symbol
_atom_site_fract_x
_atom_site_fract_y
_atom_site_fract_z
Hf1 Hf 0.000 0.000 0.000
As1 As 0.000 0.000 0.500
P1 P 0.244 0.250 0.625

---

# Hf6AsP2, optimized geometry, DFT PBE-GGA
# ΔH_f (0 K) in meV/atom: -766
# DOS(E_F) in states/eV/atom: 0.632
# Energy in eV per atom: -9.121
data_Hf6AsP2
_chemical_formula_sum 'Hf12 As2 P4'
_space_group_name_H-M_alt 'P 1 21/c 1'
_space_group_IT_number 14
_cell_length_a 5.943
_cell_length_b 6.651
_cell_length_c 10.403
_cell_angle_alpha 90.00
_cell_angle_beta 120.49
_cell_angle_gamma 90.00
loop_
_space_group_symop_operation_xyz
'x,y,z'
'-x,-y,-z'
'-x,y+1/2,-z+1/2'
'x,-y+1/2,z+1/2'
loop_
_atom_site_label
_atom_site_type_symbol
_atom_site_fract_x
_atom_site_fract_y
_atom_site_fract_z
Hf1 Hf 0.075 0.199 0.439
Hf2 Hf 0.269 0.652 0.430
Hf3 Hf 0.416 0.041 0.234
As1 As 0.500 0.000 0.500
P1 P 0.155 0.130 0.721

---

# Hf3As2P, optimized geometry, DFT PBE-GGA
# ΔH_f (0 K) in meV/atom: -1041
# DOS(E_F) in states/eV/atom: 0.332
# Energy in eV per atom: -8.470
data_Hf3As2P
_chemical_formula_sum 'Hf6 As4 P2'
_space_group_name_H-M_alt 'I m m m'
_space_group_IT_number 71
_space_group_name_Hall '-I 2 2'
_cell_length_a 3.791
_cell_length_b 5.317
_cell_length_c 11.488
_cell_angle_alpha 90.00
_cell_angle_beta 90.00
_cell_angle_gamma 90.00
loop_
_atom_site_label
_atom_site_type_symbol
_atom_site_fract_x
_atom_site_fract_y
_atom_site_fract_z
Hf1 Hf 0.000 0.000 0.000
Hf2 Hf 0.000 0.000 0.350
As1 As 0.000 0.500 0.328
P1 P 0.000 0.500 0.000

---

# Hf8As2P, optimized geometry, DFT PBE-GGA
# ΔH_f (0 K) in meV/atom: -353
# DOS(E_F) in states/eV/atom: 0.993
# Energy in eV per atom: -8.929
data_Hf8As2P
_chemical_formula_sum 'Hf16 As4 P2'
_space_group_name_H-M_alt 'C 1 2/m 1'
_space_group_IT_number 12
_cell_length_a 7.780
_cell_length_b 11.646
_cell_length_c 5.192
_cell_angle_alpha 90.00
_cell_angle_beta 106.66
_cell_angle_gamma 90.00
loop_
_space_group_symop_operation_xyz
'x,y,z'
'-x,-y,-z'
'-x,y,-z'
'x,-y,z'
'x+1/2,y+1/2,z'
'-x+1/2,-y+1/2,-z'
'-x+1/2,y+1/2,-z'
'x+1/2,-y+1/2,z'
loop_
_atom_site_label
_atom_site_type_symbol
_atom_site_fract_x
_atom_site_fract_y
_atom_site_fract_z
Hf1 Hf 0.000 0.234 0.000
Hf2 Hf 0.128 0.500 0.830
Hf3 Hf 0.203 0.122 0.614
As1 As 0.000 0.314 0.500
P1 P 0.000 0.000 0.000

---

# HfAs2P, optimized geometry, DFT PBE-GGA
# ΔH_f (0 K) in meV/atom: 145
# DOS(E_F) in states/eV/atom: 1.375
# Energy in eV per atom: -6.021
data_HfAs2P
_chemical_formula_sum 'Hf4 As8 P4'
_space_group_name_H-M_alt 'I -4 2 d'
_space_group_IT_number 122
_space_group_name_Hall 'I -4 2bw'
_cell_length_a 5.907
_cell_length_b 5.907
_cell_length_c 11.596
_cell_angle_alpha 90.00
_cell_angle_beta 90.00
_cell_angle_gamma 90.00
loop_
_atom_site_label
_atom_site_type_symbol
_atom_site_fract_x
_atom_site_fract_y
_atom_site_fract_z
Hf1 Hf 0.000 0.000 0.000
As1 As 0.228 0.250 0.625
P1 P 0.000 0.000 0.500

---

# HfAs3P, optimized geometry, DFT PBE-GGA
# ΔH_f (0 K) in meV/atom: 476
# DOS(E_F) in states/eV/atom: 0.652
# Energy in eV per atom: -5.387
data_HfAs3P
_chemical_formula_sum 'Hf1 As3 P1'
_space_group_name_H-M_alt 'P m -3 m'
_space_group_IT_number 221
_space_group_name_Hall '-P 4 2 3'
_cell_length_a 4.687
_cell_length_b 4.687
_cell_length_c 4.687
_cell_angle_alpha 90.00
_cell_angle_beta 90.00
_cell_angle_gamma 90.00
loop_
_atom_site_label
_atom_site_type_symbol
_atom_site_fract_x
_atom_site_fract_y
_atom_site_fract_z
Hf1 Hf 0.000 0.000 0.000
As1 As 0.000 0.500 0.500
P1 P 0.500 0.500 0.500